Cs2RbSeF | PBE | optimized geometry

Cell lengths 5.764, 5.764, 5.530 Å; angles 90.00, 90.00, 90.00 degrees
Fractional coordinates of all 5 atoms:
Cs  0.000  0.500  0.000
Cs  0.500  0.000  0.000
Rb  0.000  0.000  0.500
Se  0.500  0.500  0.500
F  0.000  0.000  0.000

Output
Distance to the lowest polymorph of the same formula: 0 meV per atom
Space-group type: P4/mmm (123)
Fermi-level density of states: 0.0 states/eV/cell
M_tot: 0.00 μB per formula unit
Formation energy without anion corrections: -1.651 eV per atom